Entry 1:
LiLa2Au2 after structural relaxation. Source: Alexandria, functional PBE.

Cell: 5.8813 5.8813 8.3552 Å, 90.00 90.00 90.00°
Last column: nearest neighbours and their distance in Å.
Space group I4/mmm (No. 139)
Unique sites:
Li 0.0000 0.0000 0.0000 x2  2 Au 2.83
La 0.0000 0.5000 0.2500 x4  4 Au 3.03
Au 0.0000 0.0000 0.3392 x4  1 Au 2.69, 1 Li 2.83

Output
As for the formation energy: -231 kJ/mol of formula units. The polymorph energy (0 for the lowest one) comes out at 88 kJ/mol of formula units. As for the crystal system: tetragonal.


Entry 2:
TiCrOs after structural relaxation. Source: Alexandria, functional PBE.

Cell: 3.0099 3.0099 9.1637 Å, 90.00 90.00 90.00°
Last column: nearest neighbours and their distance in Å.
Space group I4mm (No. 107)
Unique sites:
Ti 0.0000 0.0000 0.0000 x2  4 Cr 2.60, 4 Os 2.67
Cr 0.0000 0.0000 0.6638 x2  4 Os 2.59, 4 Ti 2.60
Os 0.0000 0.0000 0.3249 x2  4 Cr 2.59, 4 Ti 2.67

Output
As for the formation energy: -74 kJ/mol of formula units. The polymorph energy (0 for the lowest one) comes out at 0 kJ/mol of formula units. As for the crystal system: tetragonal.


Entry 3:
Sc2Zn5In after structural relaxation. Source: Alexandria, functional PBE.

Cell: 3.9036 16.2691 9.1965 Å, 90.00 90.00 90.00°
Last column: nearest neighbours and their distance in Å.
Space group Cmcm (No. 63)
Unique sites:
Sc 0.0000 0.0000 0.0000 x4  4 Zn 2.99, 4 In 3.07
Sc 0.0000 0.1885 0.2500 x4  11 Zn 2.95-3.24, 2 In 3.16
Zn 0.0000 0.2051 0.6006 x8  6 Zn 2.51-2.75
Zn 0.0000 0.3612 0.5252 x8  4 Zn 2.51-2.63, 1 In 2.66
Zn 0.0000 0.3742 0.2500 x4  6 Zn 2.54-2.71, 1 In 2.63
In 0.0000 0.4642 0.7500 x4  3 Zn 2.63-2.66

Output
As for the formation energy: -196 kJ/mol of formula units. As for the crystal system: orthorhombic.


What final energy values result from the calculations? In sequence: -4.14 -9.84 -2.97 eV per atom.
What density of states at the Fermi level values result from the calculations? In sequence: 0.784 0.670 0.587 states/eV per atom.